{"formula": "Ho3Er3SbTeOs", "functional": "PBE", "state": "relaxed", "lattice": [[8.194, 0.000, 0.000], [-4.097, 7.096, 0.000], [0.000, 0.000, 4.113]], "species": ["Os", "Sb", "Ho", "Ho", "Ho", "Er", "Er", "Er", "Te"], "fractional_positions": [[0.000, 0.000, 0.500], [0.333, 0.667, 0.000], [0.005, 0.613, 0.500], [0.387, 0.392, 0.500], [0.608, 0.995, 0.500], [0.762, 0.762, 0.000], [0.000, 0.238, 0.000], [0.238, 0.000, 0.000], [0.667, 0.333, 0.000]], "spacegroup": "P-6", "total_energy_ev_per_cell": -52.2, "magmom_total_mub_per_fu": 0.075}